# RbZnFe2I8

A relaxed RbZnFe2I8 crystal (PBE-GGA, Alexandria).

Unit cell a=7.2169 b=7.2169 c=10.6488 alpha=83.93 beta=83.93 gamma=69.37
Last column: nearest neighbours and their distance in Å.
Fractional positions:
I: 0.2385 0.2385 0.9914  1 Fe 2.58, 1 Zn 2.82
I: 0.7682 0.2653 0.7988  1 Fe 2.62
I: 0.2653 0.7682 0.7988  1 Fe 2.62
I: 0.7347 0.2318 0.2012  1 Fe 2.62
I: 0.6898 0.6898 0.4263  1 Fe 2.55
I: 0.2318 0.7347 0.2012  1 Fe 2.62
I: 0.3102 0.3102 0.5737  1 Fe 2.55
I: 0.7615 0.7615 0.0086  1 Fe 2.58, 1 Zn 2.82
Fe: 0.3831 0.3831 0.7884  4 I 2.55-2.62
Fe: 0.6169 0.6169 0.2116  4 I 2.55-2.62
Rb: 0.0000 0.0000 0.5000  6 I 3.81-3.86
Zn: 0.0000 0.0000 0.0000  6 I 2.82-2.95

Output
E_form (uncorrected)   -0.43 eV/atom
Calculated total energy   -3.059 eV per atom
Space group   C2/m
Crystal system   monoclinic
Calculated volume   514.8 Å³/cell